DFT (PBE) results for crystalline CaPH4O6 at its relaxed geometry.

Cell and atoms, written as extended XYZ:
```
24
Lattice="-6.3119 0.0441 0.1281 2.8758 5.3968 0.9845 -1.2977 -4.0037 -8.3950" Properties=species:S:1:pos:R:3 pbc="T T T"
Ca -3.7123 0.5438 -5.7377
H -3.8320 2.1486 -1.0861
O -2.1024 -3.2665 -7.4452
O -2.9689 2.1179 -0.5847
O -2.6329 4.6997 0.1706
O -1.1417 -0.6685 -3.2849
Ca -1.0230 0.8895 -1.5369
H -0.9034 -0.7154 -6.1883
H -1.5391 -0.2407 -7.5638
O -5.5012 -0.9553 -5.7300
H -4.6071 -0.5442 -1.2258
H -3.1962 1.6739 0.2894
O -1.7665 -0.6847 -6.6897
O -0.0864 4.5973 -0.6143
O -4.6489 -3.1640 -6.6600
O 0.7658 2.3886 -1.5445
P 0.5780 3.8776 -1.8164
O -3.5938 2.1019 -3.9897
H -0.1282 1.9773 -6.0487
H -1.9015 -2.3318 -7.1267
P -5.3134 -2.4443 -5.4580
O -3.2805 -1.4352 -4.1553
H -2.8338 3.7650 -0.1478
O -1.4551 2.8687 -3.1190
```

Output
uncorrected energy: -5.929 eV/atom
spin magnetization: 0.00 μB per formula unit
Fermi-level density of states: 0.0 states/eV/cell
symmetry: P-1, No. 2

DFT (PBE) results for crystalline CaSnP6H12O12 at its relaxed geometry.

Cell and atoms, written as extended XYZ:
```
32
Lattice="7.8121 -0.0057 -0.0077 -1.7373 7.6164 -0.0077 -1.7373 -2.1765 7.2988" Properties=species:S:1:pos:R:3 pbc="T T T"
O 1.4271 4.8076 4.4573
H 0.2775 6.0506 2.3329
O 0.0048 2.0730 0.0600
Ca 2.1688 2.7171 3.6417
P 3.1236 2.3702 7.2120
P 1.2140 3.0640 0.0715
H 2.2257 6.6269 1.3816
O 4.3717 3.5729 3.6249
O 2.9105 0.6266 2.8261
P 2.7187 -0.4621 1.8062
O 2.5150 2.0352 5.8780
H -1.6312 5.1463 3.4014
H 5.9687 0.2879 3.8821
H 4.0601 -0.6164 4.9506
O 4.3328 3.3612 7.2235
O 4.8582 5.5477 5.2792
O 2.3171 5.5089 6.8214
H 5.3798 3.3886 0.5375
P -1.0532 1.0055 2.9575
Sn 0.0000 0.0000 0.0000
P 1.6189 5.8963 5.4773
O -0.5207 -0.1135 2.0043
H 0.4388 0.3843 6.4645
P 5.3907 4.4287 4.3260
O -0.0342 1.8613 3.6585
O 2.0204 -0.0747 0.4620
H -1.0423 2.0456 6.7460
O 1.8225 3.3990 1.4055
H 2.1118 -1.1927 5.9018
H -1.5011 3.6570 5.0740
H 5.8386 1.7772 2.2094
H 3.8987 5.0499 0.8190
```

Output
uncorrected energy: -5.565 eV/atom
spin magnetization: 0.00 μB per formula unit
Fermi-level density of states: 0.0 states/eV/cell
symmetry: R-3, No. 148